! Li3Zn5Rh12 | Alexandria | PBE-GGA | optimized geometry; values from VASP
&SYSTEM
  ibrav = 0, nat = 80, ntyp = 3
/
ATOMIC_SPECIES
Rh 102.91 Rh.upf
Zn 65.41 Zn.upf
Li 6.94 Li.upf
CELL_PARAMETERS angstrom
12.151 0.000 0.000
-4.050 11.456 0.000
-4.050 -5.728 9.921
ATOMIC_POSITIONS crystal
Rh 0.165 0.058 0.925
Rh 0.942 0.108 0.867
Rh 0.665 0.240 0.608
Rh 0.835 0.892 0.260
Rh 0.892 0.058 0.633
Rh 0.260 0.867 0.925
Rh 0.867 0.260 0.425
Rh 0.925 0.558 0.165
Rh 0.442 0.367 0.608
Rh 0.558 0.633 0.392
Rh 0.392 0.260 0.335
Rh 0.740 0.133 0.075
Rh 0.558 0.925 0.665
Rh 0.075 0.442 0.835
Rh 0.892 0.835 0.760
Rh 0.665 0.425 0.558
Rh 0.740 0.608 0.165
Rh 0.108 0.165 0.240
Rh 0.442 0.075 0.335
Rh 0.108 0.942 0.367
Rh 0.367 0.442 0.108
Rh 0.058 0.165 0.425
Rh 0.367 0.925 0.760
Rh 0.575 0.240 0.133
Rh 0.925 0.367 0.260
Rh 0.760 0.335 0.892
Rh 0.575 0.335 0.942
Rh 0.392 0.133 0.558
Rh 0.058 0.892 0.133
Rh 0.608 0.740 0.665
Rh 0.133 0.392 0.058
Rh 0.075 0.633 0.740
Rh 0.425 0.665 0.058
Rh 0.633 0.075 0.240
Rh 0.133 0.740 0.575
Rh 0.835 0.942 0.075
Rh 0.240 0.575 0.633
Rh 0.633 0.558 0.892
Rh 0.240 0.665 0.108
Rh 0.867 0.608 0.942
Rh 0.608 0.867 0.442
Rh 0.335 0.760 0.392
Rh 0.425 0.760 0.867
Rh 0.260 0.392 0.835
Rh 0.335 0.575 0.442
Rh 0.760 0.425 0.367
Rh 0.165 0.108 0.740
Rh 0.942 0.835 0.575
Zn 0.375 0.250 0.125
Zn 0.000 0.000 0.000
Zn 0.500 0.500 0.500
Zn 0.500 0.000 0.500
Zn 0.750 0.125 0.875
Zn 0.250 0.875 0.125
Zn 0.625 0.875 0.250
Zn 0.875 0.250 0.625
Zn 0.750 0.625 0.375
Zn 0.125 0.375 0.250
Zn 0.375 0.125 0.750
Zn 0.000 0.500 0.000
Zn 0.500 0.500 0.000
Zn 0.000 0.000 0.500
Zn 0.500 0.000 0.000
Zn 0.875 0.625 0.750
Zn 0.125 0.750 0.375
Zn 0.000 0.500 0.500
Zn 0.625 0.750 0.875
Zn 0.250 0.375 0.625
Li 0.875 0.125 0.250
Li 0.125 0.875 0.750
Li 0.750 0.875 0.625
Li 0.750 0.375 0.125
Li 0.875 0.750 0.125
Li 0.375 0.750 0.625
Li 0.125 0.250 0.875
Li 0.250 0.125 0.375
Li 0.375 0.625 0.250
Li 0.625 0.375 0.750
Li 0.625 0.250 0.375
Li 0.250 0.625 0.875
! Energy of formation from the pure elements = 0.60 eV per atom
! Total magnetization = 30.03 μB per cell
! DFT total energy = -4.412 eV/atom

---

! Li6ZnRh8 | Alexandria | PBE-GGA | optimized geometry; values from VASP
&SYSTEM
  ibrav = 0, nat = 15, ntyp = 3
/
ATOMIC_SPECIES
Li 6.94 Li.upf
Zn 65.41 Zn.upf
Rh 102.91 Rh.upf
CELL_PARAMETERS angstrom
5.683 -0.239 2.167
1.410 5.510 2.167
-0.321 -0.239 6.074
ATOMIC_POSITIONS crystal
Li 0.046 0.616 0.300
Li 0.700 0.954 0.384
Li 0.954 0.384 0.700
Li 0.616 0.300 0.046
Li 0.384 0.700 0.954
Li 0.300 0.046 0.616
Zn 0.000 0.000 0.000
Rh 0.076 0.763 0.660
Rh 0.924 0.237 0.340
Rh 0.412 0.412 0.412
Rh 0.340 0.924 0.237
Rh 0.237 0.340 0.924
Rh 0.660 0.076 0.763
Rh 0.763 0.660 0.076
Rh 0.588 0.588 0.588
! Energy of formation from the pure elements = -0.01 eV per atom
! Total magnetization = 0.00 μB per cell
! DFT total energy = -4.782 eV/atom

---

! Li3Zn7Rh | Alexandria | PBE-GGA | optimized geometry; values from VASP
&SYSTEM
  ibrav = 0, nat = 11, ntyp = 3
/
ATOMIC_SPECIES
Zn 65.41 Zn.upf
Rh 102.91 Rh.upf
Li 6.94 Li.upf
CELL_PARAMETERS angstrom
-2.054 -0.838 -4.272
6.324 -1.311 -0.563
-0.315 -5.482 3.448
ATOMIC_POSITIONS crystal
Zn 0.658 0.418 0.910
Zn 0.342 0.582 0.090
Zn 0.978 0.771 0.771
Zn 0.658 0.910 0.418
Zn 0.000 0.500 0.500
Zn 0.022 0.229 0.229
Zn 0.342 0.090 0.582
Rh 0.500 0.500 0.500
Li 0.000 0.796 0.204
Li 0.000 0.204 0.796
Li 0.500 0.000 0.000
! Energy of formation from the pure elements = -0.07 eV per atom
! Total magnetization = 0.00 μB per cell
! DFT total energy = -2.068 eV/atom